18
Lattice="3.890 2.246 6.365 -3.890 2.246 6.365 0.000 -4.492 6.365" Properties=species:S:1:pos:R:3 comment="Cs2PuV3F12 | Alexandria via LeMat-Bulk | PBE with a Hubbard U | optimized geometry" dos_ef_per_ev_cell=9.268 magmom_total_mub_per_atom=0.722 final_energy_ev_per_fu=-114.622 pbc="T T T"
Cs 0.000 0.000 2.122
Cs 0.000 0.000 16.974
Pu 0.000 0.000 9.548
V -1.945 -1.123 6.365
V -1.945 1.123 12.731
V 0.000 2.246 6.365
F -1.725 -0.996 8.436
F 0.000 -1.738 6.166
F -1.505 0.869 6.166
F 0.000 -1.992 10.661
F -1.725 0.996 10.661
F -1.505 -0.869 12.930
F 1.505 0.869 6.166
F 1.725 -0.996 8.436
F 0.000 1.992 8.436
F 1.505 -0.869 12.930
F 0.000 1.738 12.930
F 1.725 0.996 10.660